Entry 1:
First-principles (PBE-GGA) data for a geometry-optimized CeLuMnRu structure, as listed in Alexandria via LeMat-Bulk.

abc: 6.8359 6.8359 6.8359
angles: 90.00 90.00 90.00
Closest atoms and distances in Å follow each position.
Space group F-43m (No. 216)
Unique sites:
Ce 0.0000 0.0000 0.0000  4 Mn 2.96, 4 Ru 2.96
Lu 0.0000 0.0000 0.5000  4 Mn 2.96, 4 Ru 2.96
Mn 0.2500 0.2500 0.7500  4 Ce 2.96, 4 Lu 2.96
Ru 0.2500 0.2500 0.2500  4 Ce 2.96, 4 Lu 2.96

Summary:
Energy of formation from the pure elements, eV per atom: -0.117
Calculated total energy, eV/cell: -117.5
Mass density, g/cm³: 9.8
Magnetization, μB per formula unit: 2.5

---

Entry 2:
First-principles (PBE-GGA) data for a geometry-optimized RbNa2MgPb structure, as listed in Alexandria via LeMat-Bulk.

abc: 6.1577 6.1577 5.6957
angles: 90.00 90.00 90.00
Closest atoms and distances in Å follow each position.
Space group P4/mmm (No. 123)
Unique sites:
Rb 0.0000 0.0000 0.0000  8 Na 4.19, 4 Mg 4.35
Na 0.0000 0.5000 0.5000  2 Pb 3.08
Mg 0.5000 0.5000 0.0000  2 Pb 2.85
Pb 0.5000 0.5000 0.5000  2 Mg 2.85, 4 Na 3.08

Summary:
Energy of formation from the pure elements, eV per atom: 0.001
Calculated total energy, eV/cell: -8.9
Mass density, g/cm³: 2.8
Magnetization, μB per formula unit: 0.0

---

Entry 3:
First-principles (PBE-GGA) data for a geometry-optimized VBN2 structure, as listed in Alexandria via LeMat-Bulk.

abc: 4.3508 4.3508 7.0629
angles: 90.00 90.00 90.00
Closest atoms and distances in Å follow each position.
Space group I-42d (No. 122)
Unique sites:
V 0.0000 0.0000 0.0000  4 N 2.00
B 0.0000 0.0000 0.5000  4 N 1.59
N 0.1727 0.2500 0.6250  2 B 1.59

Summary:
Calculated total energy, eV/cell: -139.8
Mass density, g/cm³: 4.5
E_form (uncorrected), eV per formula unit: -2.51
Magnetization, μB per formula unit: 2.0

---

Entry 4:
First-principles (PBE-GGA) data for a geometry-optimized Rb2SmCl5 structure, as listed in Alexandria via LeMat-Bulk.

abc: 13.4572 8.8979 8.3696
angles: 90.00 90.00 90.00
Closest atoms and distances in Å follow each position.
Space group Pnma (No. 62)
Unique sites:
Rb 0.1710 0.0050 0.0587  8 Cl 3.32-3.63
Sm 0.0046 0.2500 0.5698  7 Cl 2.74-2.84
Cl 0.0132 0.2500 0.8997  1 Sm 2.76
Cl 0.0688 0.5425 0.6601  2 Sm 2.84
Cl 0.1744 0.2500 0.3888  1 Sm 2.74
Cl 0.1932 0.7500 0.3517  1 Sm 2.74

Summary:
Calculated total energy, eV/cell: -133.1
Mass density, g/cm³: 3.3
E_form (uncorrected), eV per formula unit: -17.38
Magnetization, μB per formula unit: 0.0

---

Entry 5:
First-principles (PBE-GGA) data for a geometry-optimized Ho7TlRh2 structure, as listed in Alexandria via LeMat-Bulk.

abc: 8.8662 13.6370 5.1738
angles: 90.00 90.00 90.00
Closest atoms and distances in Å follow each position.
Space group Cmmm (No. 65)
Unique sites:
Ho 0.0000 0.0000 0.0000  2 Rh 2.78
Ho 0.0000 0.2093 0.5000  2 Rh 2.59
Ho 0.1854 0.3707 0.0000  2 Rh 2.81-2.97
Tl 0.0000 0.5000 0.5000  8 Ho 3.54
Rh 0.0000 0.2036 0.0000  5 Ho 2.59-2.81

Summary:
Energy of formation from the pure elements, eV per atom: -0.246
Calculated total energy, eV/cell: -103.1
Mass density, g/cm³: 8.3
Magnetization, μB per formula unit: 0.0

---

Entry 6:
First-principles (PBE-GGA) data for a geometry-optimized LiLa2W structure, as listed in Alexandria via LeMat-Bulk.

abc: 3.7715 5.0504 10.2745
angles: 90.00 90.00 90.00
Closest atoms and distances in Å follow each position.
Space group Imm2 (No. 44)
Unique sites:
Li 0.0000 0.0000 0.0000  2 W 2.81
La 0.0000 0.0000 0.4362  2 W 3.05, 4 Li 3.22, 2 La 3.37
La 0.0000 0.5000 0.2189  4 W 3.16, 4 La 3.37-3.46, 4 Li 3.38-3.45
W 0.0000 0.5000 0.7024  2 Li 2.81, 2 La 3.05

Summary:
Energy of formation from the pure elements, eV per atom: 0.571
Calculated total energy, eV/cell: -44.9
Mass density, g/cm³: 8.0
Magnetization, μB per formula unit: 0.0
Offset from the most stable computed form, meV/atom: 160.0

---

What did we get for volume? Answer: 79.9, 216.0, 33.4, 250.5, 312.8, 97.9 Å³/f.u., in the order shown.